10
Lattice="3.6888 0.0001 0.0000 -0.0002 9.0227 0.0000 0.0000 0.0000 8.1499" Properties=species:S:1:pos:R:3 comment="WCl3F | the Alexandria database | PBE+U | optimized geometry" spacegroup="Pmma (51)" energy_ev_per_atom=-4.283 pbc="T T T"
Cl 3.6883 6.4735 0.3522
Cl 3.6883 6.4735 3.7228
Cl 1.8441 8.8806 2.0375
Cl 1.8445 0.1423 6.1124
Cl 0.0003 2.5493 7.7977
Cl 0.0003 2.5493 4.4271
W 1.8442 6.5432 2.0375
W 1.8444 2.4797 6.1124
F 1.8441 4.5947 2.0375
F 1.8445 4.4282 6.1124